<1>
# SrMgSb | Alexandria via LeMat-Bulk | GGA-PBE | relaxed
data_SrMgSb
_chemical_formula_sum 'Sr4 Mg4 Sb4'
_symmetry_space_group_name_H-M 'F -4 3 m'
_symmetry_Int_Tables_number 216
_symmetry_space_group_name_Hall 'F -4 2 3'
_cell_length_a 7.5656
_cell_length_b 7.5656
_cell_length_c 7.5656
_cell_angle_alpha 90.00
_cell_angle_beta 90.00
_cell_angle_gamma 90.00
loop_
_atom_site_label
_atom_site_fract_x
_atom_site_fract_y
_atom_site_fract_z
Sr1 0.0000 0.0000 0.0000
Mg1 0.2500 0.2500 0.7500
Sb1 0.2500 0.2500 0.2500
# N(E_F): 0.57 states/eV/atom



<2>
# SrMgSb | Alexandria via LeMat-Bulk | GGA-PBE | relaxed
data_SrMgSb
_chemical_formula_sum 'Sr4 Mg4 Sb4'
_symmetry_space_group_name_H-M 'F -4 3 m'
_symmetry_Int_Tables_number 216
_symmetry_space_group_name_Hall 'F -4 2 3'
_cell_length_a 7.4481
_cell_length_b 7.4481
_cell_length_c 7.4481
_cell_angle_alpha 90.00
_cell_angle_beta 90.00
_cell_angle_gamma 90.00
loop_
_atom_site_label
_atom_site_fract_x
_atom_site_fract_y
_atom_site_fract_z
Sr1 0.0000 0.0000 0.0000
Mg1 0.0000 0.0000 0.5000
Sb1 0.2500 0.2500 0.2500
# N(E_F): 0.92 states/eV/atom



What should be chosen as the least stable of them? Choose <1>.